1.
Ca4AcNd2: relaxed, PBE.

Computed properties:
DFT total energy, eV/atom: -2.402
ρ, g/cm3: 3.35

a = 6.109 Å, b = 6.109 Å, c = 17.958 Å
α = 90.00°, β = 90.00°, γ = 90.00°
Sites, in units of the cell vectors:
1 Ca 0.000 0.000 0.189
2 Ca 0.000 0.000 0.811
3 Ca 0.000 0.500 0.000
4 Ca 0.000 0.500 0.500
5 Ca 0.500 0.000 0.000
6 Ca 0.500 0.000 0.500
7 Ca 0.500 0.500 0.311
8 Ca 0.500 0.500 0.689
9 Ac 0.000 0.000 0.000
10 Ac 0.500 0.500 0.500
11 Nd 0.000 0.000 0.399
12 Nd 0.000 0.000 0.601
13 Nd 0.500 0.500 0.101
14 Nd 0.500 0.500 0.899

=====

2.
PmYIn4: relaxed, PBE.

Computed properties:
E above lowest polymorph, meV per atom: 46.4
DFT total energy, eV/atom: -4.079
ρ, g/cm3: 7.41

a = 6.033 Å, b = 6.033 Å, c = 6.033 Å
α = 60.00°, β = 60.00°, γ = 60.00°
Sites, in units of the cell vectors:
1 Pm 0.000 0.000 0.000
2 Y 0.750 0.750 0.750
3 In 0.375 0.375 0.375
4 In 0.375 0.375 0.875
5 In 0.375 0.875 0.375
6 In 0.875 0.375 0.375

=====

3.
AcLa2Gd: relaxed, PBE.

Computed properties:
E above lowest polymorph, meV per atom: 0.0
DFT total energy, eV/atom: -6.995
ρ, g/cm3: 7.34

a = 5.300 Å, b = 5.300 Å, c = 5.334 Å
α = 90.00°, β = 90.00°, γ = 90.00°
Sites, in units of the cell vectors:
1 Ac 0.000 0.000 0.000
2 La 0.000 0.500 0.500
3 La 0.500 0.000 0.500
4 Gd 0.500 0.500 0.000

=====

4.
Tb2TmAg: relaxed, PBE.

Computed properties:
E above lowest polymorph, meV per atom: 117.7
DFT total energy, eV/atom: -4.160
ρ, g/cm3: 9.03

a = 5.428 Å, b = 5.428 Å, c = 3.713 Å
α = 90.00°, β = 90.00°, γ = 90.00°
Sites, in units of the cell vectors:
1 Tb 0.000 0.500 0.000
2 Tb 0.500 0.000 0.000
3 Tm 0.000 0.000 0.500
4 Ag 0.500 0.500 0.500

=====

5.
CsSb4Pb12: relaxed, PBE.

Computed properties:
DFT total energy, eV/atom: -3.580
ρ, g/cm3: 8.16
Formation energy from raw total energies, meV/atom: 58

a = 9.363 Å, b = 9.363 Å, c = 9.363 Å
α = 109.47°, β = 109.47°, γ = 109.47°
Sites, in units of the cell vectors:
1 Cs 0.000 0.000 0.000
2 Sb 0.000 0.000 0.500
3 Sb 0.000 0.500 0.000
4 Sb 0.500 0.000 0.000
5 Sb 0.500 0.500 0.500
6 Pb 0.151 0.505 0.355
7 Pb 0.151 0.796 0.645
8 Pb 0.204 0.355 0.849
9 Pb 0.355 0.151 0.505
10 Pb 0.355 0.849 0.204
11 Pb 0.495 0.645 0.849
12 Pb 0.505 0.355 0.151
13 Pb 0.645 0.151 0.796
14 Pb 0.645 0.849 0.495
15 Pb 0.796 0.645 0.151
16 Pb 0.849 0.204 0.355
17 Pb 0.849 0.495 0.645

=====

6.
RbNa2Hg: relaxed, PBE.

Computed properties:
DFT total energy, eV/atom: -1.033
ρ, g/cm3: 3.43

a = 5.219 Å, b = 5.219 Å, c = 5.909 Å
α = 90.00°, β = 90.00°, γ = 90.00°
Sites, in units of the cell vectors:
1 Rb 0.000 0.000 0.000
2 Na 0.000 0.500 0.500
3 Na 0.500 0.000 0.500
4 Hg 0.500 0.500 0.000